Record 1
DFT (PBE) results for a geometry-optimized Sr2Cr2B structure.

The structure in POSCAR format:
```
Sr2Cr2B
1.0
3.255 0.000 0.000
0.000 3.255 0.000
1.627 1.627 9.782
Sr B Cr
2 1 2
direct
0.408 0.408 0.184
0.592 0.592 0.816
0.000 0.000 0.000
0.750 0.250 0.500
0.250 0.750 0.500
```

Output
Relative energy among the computed polymorphs, meV per atom: 0

Record 2
DFT (PBE) results for a geometry-optimized SrCrB14 structure.

The structure in POSCAR format:
```
SrCrB14
1.0
5.374 0.000 2.392
2.017 6.609 2.701
-0.082 0.035 7.419
Sr Cr B
2 2 28
direct
0.250 0.388 0.112
0.750 0.612 0.888
0.500 0.000 0.500
0.000 0.000 0.500
0.665 0.366 0.303
0.335 0.634 0.697
0.165 0.803 0.866
0.835 0.197 0.134
0.131 0.237 0.501
0.869 0.763 0.499
0.631 0.001 0.737
0.369 0.999 0.263
0.086 0.081 0.748
0.914 0.919 0.252
0.586 0.248 0.581
0.414 0.752 0.419
0.718 0.603 0.282
0.602 0.397 0.718
0.218 0.782 0.103
0.102 0.218 0.897
0.282 0.397 0.718
0.398 0.603 0.282
0.782 0.218 0.897
0.898 0.782 0.103
0.326 0.970 0.875
0.171 0.030 0.125
0.826 0.375 0.470
0.671 0.625 0.530
0.674 0.030 0.125
0.829 0.970 0.875
0.174 0.625 0.530
0.329 0.375 0.470
```

Computed ΔH_f (0 K), in the same sequence as the records: 0.924, -0.124 eV per atom.
Computed DOS at the Fermi energy, in the same sequence as the records: 0.85, 0.26 states/eV per atom.